A relaxed structure of CePuGe2, computed with PBE.

Structure (CIF):
```
data_CePuGe2
_symmetry_space_group_name_H-M 'R -3 m'
_symmetry_Int_Tables_number 166
_symmetry_space_group_name_Hall '-R 3 2"'
_cell_length_a 4.2421
_cell_length_b 4.2421
_cell_length_c 20.3056
_cell_angle_alpha 90.00
_cell_angle_beta 90.00
_cell_angle_gamma 120.00
loop_
_atom_site_label
_atom_site_type_symbol
_atom_site_fract_x
_atom_site_fract_y
_atom_site_fract_z
_atom_site_occupancy
Ce1 Ce 0.0000 0.0000 0.0000 1
Pu1 Pu 0.0000 0.0000 0.5000 1
Ge1 Ge 0.0000 0.0000 0.2485 1
```

- electronic total energy (eV per atom) = -7.771
- E_form (eV per formula unit) = -1.58

---

A relaxed structure of SrLiMn, computed with PBE.

Structure (CIF):
```
data_SrLiMn
_symmetry_space_group_name_H-M 'P 3 m 1'
_symmetry_Int_Tables_number 156
_symmetry_space_group_name_Hall 'P 3 -2"'
_cell_length_a 4.9711
_cell_length_b 4.9711
_cell_length_c 3.9609
_cell_angle_alpha 90.00
_cell_angle_beta 90.00
_cell_angle_gamma 120.00
loop_
_atom_site_label
_atom_site_type_symbol
_atom_site_fract_x
_atom_site_fract_y
_atom_site_fract_z
_atom_site_occupancy
Sr1 Sr 0.0000 0.0000 0.0000 1
Li1 Li 0.6667 0.3333 0.4988 1
Mn1 Mn 0.3333 0.6667 0.5006 1
```

- electronic total energy (eV per atom) = -3.770
- E_form (eV per formula unit) = 1.46

---

A relaxed structure of YHoZr2, computed with PBE.

Structure (CIF):
```
data_YHoZr2
_symmetry_space_group_name_H-M 'R -3 m'
_symmetry_Int_Tables_number 166
_symmetry_space_group_name_Hall '-R 3 2"'
_cell_length_a 3.3397
_cell_length_b 3.3397
_cell_length_c 32.9992
_cell_angle_alpha 90.00
_cell_angle_beta 90.00
_cell_angle_gamma 120.00
loop_
_atom_site_label
_atom_site_type_symbol
_atom_site_fract_x
_atom_site_fract_y
_atom_site_fract_z
_atom_site_occupancy
Y1 Y 0.0000 0.0000 0.0000 1
Ho1 Ho 0.0000 0.0000 0.5000 1
Zr1 Zr 0.0000 0.0000 0.2494 1
```

- electronic total energy (eV per atom) = -6.907
- E_form (eV per formula unit) = 0.51

---

A relaxed structure of Ac3Cd2InPd6, computed with PBE.

Structure (CIF):
```
data_Ac3Cd2InPd6
_symmetry_space_group_name_H-M 'P -3 m 1'
_symmetry_Int_Tables_number 164
_symmetry_space_group_name_Hall '-P 3 2"'
_cell_length_a 5.9685
_cell_length_b 5.9685
_cell_length_c 9.1608
_cell_angle_alpha 90.00
_cell_angle_beta 90.00
_cell_angle_gamma 120.00
loop_
_atom_site_label
_atom_site_type_symbol
_atom_site_fract_x
_atom_site_fract_y
_atom_site_fract_z
_atom_site_occupancy
Ac1 Ac 0.0000 0.0000 0.0000 1
Ac2 Ac 0.3333 0.6667 0.6234 1
Cd1 Cd 0.3333 0.6667 0.0157 1
In1 In 0.0000 0.0000 0.5000 1
Pd1 Pd 0.1757 0.3515 0.2766 1
```

- electronic total energy (eV per atom) = -4.651
- E_form (eV per formula unit) = -7.76

---

A relaxed structure of La2Nd2SmTm, computed with PBE.

Structure (CIF):
```
data_La2Nd2SmTm
_symmetry_space_group_name_H-M 'P m m a'
_symmetry_Int_Tables_number 51
_symmetry_space_group_name_Hall '-P 2a 2a'
_cell_length_a 7.1449
_cell_length_b 5.7864
_cell_length_c 10.0050
_cell_angle_alpha 90.00
_cell_angle_beta 90.00
_cell_angle_gamma 90.00
loop_
_atom_site_label
_atom_site_type_symbol
_atom_site_fract_x
_atom_site_fract_y
_atom_site_fract_z
_atom_site_occupancy
La1 La 0.0000 0.0000 0.0000 1
La2 La 0.2500 0.5000 0.1780 1
Nd1 Nd 0.2500 0.0000 0.3323 1
Nd2 Nd 0.2500 0.5000 0.8351 1
Sm1 Sm 0.2500 0.0000 0.6564 1
Tm1 Tm 0.0000 0.5000 0.5000 1
```

- electronic total energy (eV per atom) = -4.711
- E_form (eV per formula unit) = 0.32

---

A relaxed structure of TcSe2Cl, computed with PBE.

Structure (CIF):
```
data_TcSe2Cl
_symmetry_space_group_name_H-M 'P 4/m m m'
_symmetry_Int_Tables_number 123
_symmetry_space_group_name_Hall '-P 4 2'
_cell_length_a 3.0176
_cell_length_b 3.0176
_cell_length_c 8.6762
_cell_angle_alpha 90.00
_cell_angle_beta 90.00
_cell_angle_gamma 90.00
loop_
_atom_site_label
_atom_site_type_symbol
_atom_site_fract_x
_atom_site_fract_y
_atom_site_fract_z
_atom_site_occupancy
Tc1 Tc 0.0000 0.0000 0.0000 1
Se1 Se 0.5000 0.5000 0.1822 1
Cl1 Cl 0.0000 0.0000 0.5000 1
```

- electronic total energy (eV per atom) = -4.849
- energy relative to the elements, uncorrected (eV per atom) = -0.054

---

A relaxed structure of Pa2VHg, computed with PBE.

Structure (CIF):
```
data_Pa2VHg
_symmetry_space_group_name_H-M 'R -3 m'
_symmetry_Int_Tables_number 166
_symmetry_space_group_name_Hall '-R 3 2"'
_cell_length_a 3.0777
_cell_length_b 3.0777
_cell_length_c 32.3580
_cell_angle_alpha 90.00
_cell_angle_beta 90.00
_cell_angle_gamma 120.00
loop_
_atom_site_label
_atom_site_type_symbol
_atom_site_fract_x
_atom_site_fract_y
_atom_site_fract_z
_atom_site_occupancy
Pa1 Pa 0.0000 0.0000 0.0781 1
V1 V 0.0000 0.0000 0.0000 1
Hg1 Hg 0.0000 0.0000 0.5000 1
```

- electronic total energy (eV per atom) = -6.731
- E_form (eV per formula unit) = 1.49

---

A relaxed structure of TlP3W, computed with PBE.

Structure (CIF):
```
data_TlP3W
_symmetry_space_group_name_H-M 'P m -3 m'
_symmetry_Int_Tables_number 221
_symmetry_space_group_name_Hall '-P 4 2 3'
_cell_length_a 4.8734
_cell_length_b 4.8734
_cell_length_c 4.8734
_cell_angle_alpha 90.00
_cell_angle_beta 90.00
_cell_angle_gamma 90.00
loop_
_atom_site_label
_atom_site_type_symbol
_atom_site_fract_x
_atom_site_fract_y
_atom_site_fract_z
_atom_site_occupancy
Tl1 Tl 0.0000 0.0000 0.0000 1
P1 P 0.0000 0.0000 0.5000 1
W1 W 0.5000 0.5000 0.5000 1
```

- electronic total energy (eV per atom) = -3.908
- E_form (eV per formula unit) = 12.01

---

A relaxed structure of Cu2SbW, computed with PBE.

Structure (CIF):
```
data_Cu2SbW
_symmetry_space_group_name_H-M 'I -4 m 2'
_symmetry_Int_Tables_number 119
_symmetry_space_group_name_Hall 'I -4 -2'
_cell_length_a 3.7952
_cell_length_b 3.7952
_cell_length_c 8.5845
_cell_angle_alpha 90.00
_cell_angle_beta 90.00
_cell_angle_gamma 90.00
loop_
_atom_site_label
_atom_site_type_symbol
_atom_site_fract_x
_atom_site_fract_y
_atom_site_fract_z
_atom_site_occupancy
Cu1 Cu 0.0000 0.0000 0.0000 1
Cu2 Cu 0.0000 0.5000 0.2500 1
Sb1 Sb 0.0000 0.5000 0.7500 1
W1 W 0.0000 0.0000 0.5000 1
```

- electronic total energy (eV per atom) = -5.920
- energy relative to the elements, uncorrected (eV per atom) = 0.397

---

A relaxed structure of CdSi2PdO6, computed with PBE.

Structure (CIF):
```
data_CdSi2PdO6
_symmetry_space_group_name_H-M 'C 1 2/c 1'
_symmetry_Int_Tables_number 15
_symmetry_space_group_name_Hall '-C 2yc'
_cell_length_a 10.3972
_cell_length_b 9.6844
_cell_length_c 5.4970
_cell_angle_alpha 90.00
_cell_angle_beta 110.57
_cell_angle_gamma 90.00
loop_
_atom_site_label
_atom_site_type_symbol
_atom_site_fract_x
_atom_site_fract_y
_atom_site_fract_z
_atom_site_occupancy
Cd1 Cd 0.0000 0.1028 0.2500 1
Si1 Si 0.2047 0.4184 0.2051 1
Pd1 Pd 0.0000 0.2763 0.7500 1
O1 O 0.1243 0.2705 0.1274 1
O2 O 0.1280 0.0894 0.6763 1
O3 O 0.1524 0.4954 0.4250 1
```

- electronic total energy (eV per atom) = -6.500
- energy relative to the elements, uncorrected (eV per atom) = -1.829

---

A relaxed structure of K2Zn2Ni, computed with PBE.

Structure (CIF):
```
data_K2Zn2Ni
_symmetry_space_group_name_H-M 'P 4/m b m'
_symmetry_Int_Tables_number 127
_symmetry_space_group_name_Hall '-P 4 2ab'
_cell_length_a 6.7930
_cell_length_b 6.7930
_cell_length_c 5.7827
_cell_angle_alpha 90.00
_cell_angle_beta 90.00
_cell_angle_gamma 90.00
loop_
_atom_site_label
_atom_site_type_symbol
_atom_site_fract_x
_atom_site_fract_y
_atom_site_fract_z
_atom_site_occupancy
K1 K 0.1709 0.3291 0.0000 1
Zn1 Zn 0.1937 0.6937 0.5000 1
Ni1 Ni 0.0000 0.0000 0.5000 1
```

- electronic total energy (eV per atom) = -1.842
- E_form (eV per formula unit) = 1.31

---

no.,calculated density (Mg/m³),size of the total moment (μB/atom)
1,8.33,1.092
2,2.93,1.298
3,6.82,0.000
4,9.75,0.000
5,7.11,0.000
6,6.12,0.059
7,13.39,0.097
8,6.90,0.000
9,11.62,0.000
10,4.76,0.000
11,3.33,0.000